! ScBeNi | OQMD via LeMat-Bulk | PBE-GGA | optimized geometry; values from VASP
! Energy above the most stable polymorph in this dataset ... 0.00 kJ per mole of atoms
&SYSTEM
  ibrav = 0, nat = 3, ntyp = 3
/
ATOMIC_SPECIES
Be 9.01 Be.upf
Ni 58.69 Ni.upf
Sc 44.96 Sc.upf
ATOMIC_POSITIONS angstrom
Be 1.430 1.430 1.430
Ni 0.000 0.000 0.000
Sc 4.290 4.290 4.290
CELL_PARAMETERS angstrom
0.000 2.860 2.860
2.860 0.000 2.860
2.860 2.860 0.000